Record 1
Crystalline NdTmPu2Te5 at its relaxed geometry, computed with PBE.

Cell lengths 5.4635, 5.4635, 11.7457 Å; angles 90.00, 90.00, 90.00 degrees
Each line ends with the local moment (μB).
Positions (direct):
Te (0.5000, 0.0000, 0.5000)  -0.04
Te (0.0000, 0.0000, 0.2496)  -0.03
Te (0.0000, 0.5000, 0.5000)  -0.04
Te (0.0000, 0.0000, 0.7504)  -0.03
Te (0.5000, 0.5000, 0.0000)  -0.03
Tm (0.0000, 0.0000, 0.5000)  0.06
Pu (0.5000, 0.5000, 0.3211)  5.75
Pu (0.5000, 0.5000, 0.6789)  5.75
Nd (0.0000, 0.0000, 0.0000)  0.04

As for the space group: P4/mmm, No. 123.



Record 2
Crystalline MnSb2Rh at its relaxed geometry, computed with PBE.

Cell lengths 8.2990, 8.2990, 8.2990 Å; angles 23.02, 23.02, 23.02 degrees
Each line ends with the local moment (μB).
Positions (direct):
Sb (0.4979, 0.4979, 0.4979)  -0.04
Sb (0.0021, 0.0021, 0.0021)  -0.04
Rh (0.7500, 0.7500, 0.7500)  0.00
Mn (0.2500, 0.2500, 0.2500)  3.33

The relative energy among the computed polymorphs is 200 meV per atom. As for the space group: R-3m, No. 166.



Record 3
Crystalline BaSi at its relaxed geometry, computed with PBE.

Cell lengths 20.8587, 4.0667, 5.0944 Å; angles 90.00, 90.00, 90.00 degrees
Positions (direct):
Ba (0.3394, 0.5000, 0.5000)
Ba (0.5000, 0.0000, 0.0000)
Ba (0.1606, 0.0000, 0.5000)
Ba (0.8394, 0.0000, 0.5000)
Ba (0.0000, 0.5000, 0.0000)
Ba (0.6606, 0.5000, 0.5000)
Si (0.7832, 0.5000, 0.0000)
Si (0.5000, 0.5000, 0.5000)
Si (0.2832, 0.0000, 0.0000)
Si (0.0000, 0.0000, 0.5000)
Si (0.2168, 0.5000, 0.0000)
Si (0.7168, 0.0000, 0.0000)

As for the space group: Cmmm, No. 65.



Record 4
Crystalline Tm4SbOs at its relaxed geometry, computed with PBE.

Cell lengths 5.6456, 6.4410, 9.2453 Å; angles 90.00, 115.23, 90.00 degrees
Positions (direct):
Tm (0.5884, 0.2500, 0.4402)
Tm (0.9401, 0.4932, 0.2560)
Tm (0.3868, 0.7500, 0.1607)
Tm (0.0599, 0.5068, 0.7440)
Tm (0.6132, 0.2500, 0.8393)
Tm (0.9401, 0.0068, 0.2560)
Tm (0.0599, 0.9932, 0.7440)
Tm (0.4116, 0.7500, 0.5598)
Os (0.1799, 0.2500, 0.5427)
Os (0.8201, 0.7500, 0.4573)
Sb (0.7080, 0.7500, 0.9281)
Sb (0.2920, 0.2500, 0.0719)

The relative energy among the computed polymorphs is 0 meV per atom. As for the space group: P2_1/m, No. 11.



| no. | total energy (eV/atom) | raw formation energy (eV per atom) | DOS(E_F) (states/eV/atom) |
| --- | --- | --- | --- |
| 1 | -6.687 | -0.730 | 3.6515 |
| 2 | -6.131 | 0.060 | 0.7197 |
| 3 | -3.928 | -0.255 | 0.8614 |
| 4 | -6.059 | -0.520 | 0.7644 |